[1]
First-principles (PBE) data for a geometry-optimized Pr2PAu structure, as listed in Alexandria.

The formation energy is -4.2 eV/f.u. As for the volume: 334.46 Å³/cell.

The space group is R-3m (No. 166, hexagonal axes) and the conventional cell measures 4.1982, 4.1982 and 21.9127 Å, with angles of 90.00, 90.00 and 120.00 degrees. The distinct sites, in fractional coordinates, are Pr at (0.0000, 0.0000, 0.2412), P at (0.0000, 0.0000, 0.5000) and Au at (0.0000, 0.0000, 0.0000).



[2]
First-principles (PBE) data for a geometry-optimized LiSnMoPd2 structure, as listed in Alexandria.

The formation energy is 5.8 eV/f.u. As for the volume: 107.19 Å³/cell.

The space group is P4/mmm (No. 123) and the conventional cell measures 4.855, 4.855 and 4.548 Å, with angles of 90.00, 90.00 and 90.00 degrees. The distinct sites, in fractional coordinates, are Li at (0.000, 0.000, 0.000), Sn at (0.000, 0.000, 0.500), Mo at (0.500, 0.500, 0.000) and Pd at (0.000, 0.500, 0.500).



[3]
First-principles (PBE) data for a geometry-optimized Ba4SnN structure, as listed in Alexandria.

The formation energy from raw total energies comes out at -9.5 kcal/mol of atoms. As for the volume: 1012.20 Å³/cell.

The space group is C2/m (No. 12) and the conventional cell measures 18.993, 7.865 and 7.099 Å, with angles of 90.00, 107.33 and 90.00 degrees. The distinct sites, in fractional coordinates, are Ba at (0.000, 0.238, 0.000), Ba at (0.123, 0.231, 0.525), Ba at (0.203, 0.000, 0.148), Sn at (0.201, 0.500, 0.241) and N at (0.079, 0.000, 0.246).



[4]
First-principles (PBE) data for a geometry-optimized Ge2Pd2Ru structure, as listed in Alexandria.

The formation energy is -0.7 eV/f.u. As for the volume: 154.58 Å³/cell.

The space group is P4/mbm (No. 127) and the conventional cell measures 6.728, 6.728 and 3.415 Å, with angles of 90.00, 90.00 and 90.00 degrees. The distinct sites, in fractional coordinates, are Ge at (0.153, 0.347, 0.000), Pd at (0.150, 0.650, 0.500) and Ru at (0.000, 0.000, 0.000).



[5]
First-principles (PBE) data for a geometry-optimized AcPuAu2O8 structure, as listed in Alexandria.

The formation energy from raw total energies comes out at -29.2 kcal/mol of atoms. As for the volume: 388.97 Å³/cell.

The space group is I-4m2 (No. 119) and the conventional cell measures 7.219, 7.219 and 7.463 Å, with angles of 90.00, 90.00 and 90.00 degrees. The distinct sites, in fractional coordinates, are Ac at (0.000, 0.000, 0.000), Pu at (0.000, 0.500, 0.750), Au at (0.000, 0.000, 0.500), Au at (0.000, 0.500, 0.250), O at (0.000, 0.226, 0.717) and O at (0.000, 0.337, 0.041).



[6]
First-principles (PBE) data for a geometry-optimized MoIr3 structure, as listed in Alexandria.

Its relative energy among the computed polymorphs is 159.0 meV/atom. The formation energy is -0.7 eV/f.u. As for the volume: 118.04 Å³/cell.

The space group is Cmmm (No. 65) and the conventional cell measures 5.493, 7.793 and 2.757 Å, with angles of 90.00, 90.00 and 90.00 degrees. The distinct sites, in fractional coordinates, are Mo at (0.000, 0.000, 0.000), Ir at (0.000, 0.500, 0.000) and Ir at (0.250, 0.250, 0.500).



[7]
First-principles (PBE) data for a geometry-optimized Pm12Tm5In2 structure, as listed in Alexandria.

The formation energy is -0.1 eV/f.u. As for the volume: 1229.03 Å³/cell.

The space group is C2/m (No. 12) and the conventional cell measures 15.425, 9.296 and 8.583 Å, with angles of 90.00, 93.04 and 90.00 degrees. The distinct sites, in fractional coordinates, are Pm at (0.057, 0.000, 0.325), Pm at (0.083, 0.500, 0.885), Pm at (0.124, 0.196, 0.662), Pm at (0.149, 0.314, 0.234), Tm at (0.000, 0.500, 0.500), Tm at (0.189, 0.000, 0.011), Tm at (0.232, 0.500, 0.582) and In at (0.000, 0.174, 0.000).



[8]
First-principles (PBE) data for a geometry-optimized KBa2N structure, as listed in Alexandria.

The formation energy from raw total energies comes out at -6.2 kcal/mol of atoms. As for the volume: 510.79 Å³/cell.

The space group is R3m (No. 160, hexagonal axes) and the conventional cell measures 4.1193, 4.1193 and 34.7592 Å, with angles of 90.00, 90.00 and 120.00 degrees. The distinct sites, in fractional coordinates, are K at (0.0000, 0.0000, 0.0000), Ba at (0.0000, 0.0000, 0.2098), Ba at (0.0000, 0.0000, 0.4571) and N at (0.0000, 0.0000, 0.8335).



Q: What is the volume in the eighth record?
A: 510.79 Å³/cell



Q: What is the volume in the second record?
A: 107.19 Å³/cell



Q: What is the volume in the fourth record?
A: 154.58 Å³/cell



Q: Which of these has the lowest volume?
A: LiSnMoPd2